A relaxed BaInRe crystal. Source: Alexandria via LeMat-Bulk, functional GGA-PBEsol.

Computed properties:
E   -5.43 eV/atom
Formation energy from the elements   0.72 eV per atom

Structure (CIF):
```
data_BaInRe
_chemical_formula_sum 'Ba2 In2 Re2'
_space_group_name_H-M_alt 'I 4 m m'
_space_group_IT_number 107
_space_group_name_Hall 'I 4 -2'
_cell_length_a 3.6333
_cell_length_b 3.6333
_cell_length_c 11.7376
_cell_angle_alpha 90.00
_cell_angle_beta 90.00
_cell_angle_gamma 90.00
loop_
_atom_site_label
_atom_site_type_symbol
_atom_site_fract_x
_atom_site_fract_y
_atom_site_fract_z
Ba1 Ba 0.0000 0.0000 0.0000
In1 In 0.0000 0.0000 0.7228
Re1 Re 0.0000 0.0000 0.2941
```

***

A relaxed BaIn2Re crystal. Source: Alexandria via LeMat-Bulk, functional GGA-PBEsol.

Computed properties:
E   -4.90 eV/atom
Polymorph energy (0 for the lowest one)   0.000 eV per atom
Formation energy from the elements   0.47 eV per atom

Structure (CIF):
```
data_BaIn2Re
_chemical_formula_sum 'Ba2 In4 Re2'
_space_group_name_H-M_alt 'C 1 m 1'
_space_group_IT_number 8
_cell_length_a 9.2684
_cell_length_b 3.0216
_cell_length_c 8.1537
_cell_angle_alpha 90.00
_cell_angle_beta 120.20
_cell_angle_gamma 90.00
loop_
_space_group_symop_operation_xyz
'x,y,z'
'x,-y,z'
'x+1/2,y+1/2,z'
'x+1/2,-y+1/2,z'
loop_
_atom_site_label
_atom_site_type_symbol
_atom_site_fract_x
_atom_site_fract_y
_atom_site_fract_z
Ba1 Ba 0.0000 0.0000 0.0000
In1 In 0.1252 0.0000 0.6754
In2 In 0.4038 0.0000 0.3098
Re1 Re 0.2604 0.5000 0.4835
```

***

A relaxed BaIn2Re crystal. Source: Alexandria via LeMat-Bulk, functional GGA-PBEsol.

Computed properties:
E   -4.69 eV/atom
Polymorph energy (0 for the lowest one)   0.207 eV per atom
Formation energy from the elements   0.67 eV per atom

Structure (CIF):
```
data_BaIn2Re
_chemical_formula_sum 'Ba2 In4 Re2'
_space_group_name_H-M_alt 'I 4/m m m'
_space_group_IT_number 139
_space_group_name_Hall '-I 4 2'
_cell_length_a 4.7440
_cell_length_b 4.7440
_cell_length_c 8.3228
_cell_angle_alpha 90.00
_cell_angle_beta 90.00
_cell_angle_gamma 90.00
loop_
_atom_site_label
_atom_site_type_symbol
_atom_site_fract_x
_atom_site_fract_y
_atom_site_fract_z
Ba1 Ba 0.0000 0.0000 0.0000
In1 In 0.0000 0.5000 0.2500
Re1 Re 0.0000 0.0000 0.5000
```

***

A relaxed BaInRe2 crystal. Source: Alexandria via LeMat-Bulk, functional GGA-PBEsol.

Computed properties:
E   -7.21 eV/atom
Formation energy from the elements   0.74 eV per atom

Structure (CIF):
```
data_BaInRe2
_chemical_formula_sum 'Ba3 In3 Re6'
_space_group_name_H-M_alt 'R 3 m'
_space_group_IT_number 160
_space_group_name_Hall 'R 3 -2"'
_cell_length_a 3.0031
_cell_length_b 3.0031
_cell_length_c 31.2549
_cell_angle_alpha 90.00
_cell_angle_beta 90.00
_cell_angle_gamma 120.00
loop_
_atom_site_label
_atom_site_type_symbol
_atom_site_fract_x
_atom_site_fract_y
_atom_site_fract_z
Ba1 Ba 0.0000 0.0000 0.0000
In1 In 0.0000 0.0000 0.2332
Re1 Re 0.0000 0.0000 0.4905
Re2 Re 0.0000 0.0000 0.7619
```

***

| no. | M_tot (μB/cell) |
| --- | --- |
| 1 | 0.00 |
| 2 | 0.00 |
| 3 | 0.68 |
| 4 | 0.00 |